# 1
Density functional theory data (PBE) for a geometry-optimized NbAlSb2I structure.

Computed properties:
Spin magnetization, μB/atom: 0.000
ΔE_f (raw), eV per atom: 0.455
Offset from the most stable computed form, meV/atom: 0
Energy, eV per cell: -21.33

a = 5.3302 Å, b = 5.3302 Å, c = 5.9104 Å
α = 90.00°, β = 90.00°, γ = 90.00°
Last column: nearest neighbours and their distance in Å.
Space group P4/mmm (No. 123)
Unique sites:
Nb  0.0000  0.0000  0.0000 x1  4 Sb 2.67, 2 I 2.96
Al  0.5000  0.5000  0.5000 x1  4 I 3.77, 8 Sb 3.98
Sb  0.0000  0.5000  0.0000 x2  2 Nb 2.67
I  0.0000  0.0000  0.5000 x1  2 Nb 2.96

---

# 2
Density functional theory data (PBE) for a geometry-optimized Ba2LiIn7 structure.

Computed properties:
ΔH_f (0 K), eV per atom: -0.363
Spin magnetization, μB/atom: 0.000
Energy, eV per cell: -28.56

a = 4.9037 Å, b = 4.9037 Å, c = 12.5568 Å
α = 90.00°, β = 90.00°, γ = 90.00°
Last column: nearest neighbours and their distance in Å.
Space group P-4m2 (No. 115)
Unique sites:
Ba  0.0000  0.5000  0.2482 x2  14 In 3.72-4.00, 2 Li 4.00
Li  0.0000  0.0000  0.5000 x1  4 In 2.94
In  0.0000  0.0000  0.0000 x1  4 In 3.02
In  0.0000  0.5000  0.6290 x2  3 In 2.89-2.94, 2 Li 2.94
In  0.0000  0.5000  0.8591 x2  5 In 2.89-3.02
In  0.5000  0.5000  0.0000 x1  4 In 3.02
In  0.5000  0.5000  0.5000 x1  4 In 2.94

---

# 3
Density functional theory data (PBE) for a geometry-optimized Fe2NiIr6 structure.

Computed properties:
ΔH_f (0 K), eV per atom: -0.027
Spin magnetization, μB/atom: 0.467
Energy, eV per cell: -152.23

a = 8.0028 Å, b = 8.0028 Å, c = 3.8185 Å
α = 90.00°, β = 90.00°, γ = 90.00°
Last column: nearest neighbours and their distance in Å.
Space group P4_2/mnm (No. 136)
Unique sites:
Fe  0.1731  0.1731  0.0000 x4  10 Ir 2.65-2.69, 2 Ni 2.74
Ni  0.0000  0.0000  0.5000 x2  8 Ir 2.62-2.64, 4 Fe 2.74
Ir  0.0061  0.3299  0.5000 x8  1 Ni 2.64, 3 Fe 2.65-2.66, 8 Ir 2.68-2.73
Ir  0.1590  0.8410  0.0000 x4  2 Ni 2.62, 4 Fe 2.66-2.69, 6 Ir 2.68-2.69

---

# 4
Density functional theory data (PBE) for a geometry-optimized RbBaSr2 structure.

Computed properties:
ΔH_f (0 K), eV per atom: 0.072
Spin magnetization, μB/atom: 0.000
Offset from the most stable computed form, meV/atom: 0
Energy, eV per cell: -17.90

a = 4.3985 Å, b = 4.3985 Å, c = 44.9945 Å
α = 90.00°, β = 90.00°, γ = 120.00°
Last column: nearest neighbours and their distance in Å.
Space group R3m (No. 160, hexagonal axes)
Unique sites:
Rb  0.0000  0.0000  0.0000 x3  6 Rb 4.40, 6 Sr 4.68-4.69
Ba  0.0000  0.0000  0.1669 x3  6 Sr 4.37-4.38, 6 Ba 4.40
Sr  0.0000  0.0000  0.4209 x3  3 Ba 4.38, 6 Sr 4.40, 3 Rb 4.69
Sr  0.0000  0.0000  0.5794 x3  3 Ba 4.37, 6 Sr 4.40, 3 Rb 4.68

---

Look up the energy of the first one.
-21.33 eV per cell

---

Copy entry 3 word for word.
Density functional theory data (PBE) for a geometry-optimized Fe2NiIr6 structure.

Computed properties:
ΔH_f (0 K), eV per atom: -0.027
Spin magnetization, μB/atom: 0.467
Energy, eV per cell: -152.23

a = 8.0028 Å, b = 8.0028 Å, c = 3.8185 Å
α = 90.00°, β = 90.00°, γ = 90.00°
Last column: nearest neighbours and their distance in Å.
Space group P4_2/mnm (No. 136)
Unique sites:
Fe  0.1731  0.1731  0.0000 x4  10 Ir 2.65-2.69, 2 Ni 2.74
Ni  0.0000  0.0000  0.5000 x2  8 Ir 2.62-2.64, 4 Fe 2.74
Ir  0.0061  0.3299  0.5000 x8  1 Ni 2.64, 3 Fe 2.65-2.66, 8 Ir 2.68-2.73
Ir  0.1590  0.8410  0.0000 x4  2 Ni 2.62, 4 Fe 2.66-2.69, 6 Ir 2.68-2.69

---

Which formula does entry 2 have?
Ba2LiIn7